Computed, not measured: a geometry-optimized NaFeNi3 structure at the PBE-GGA level of DFT.

a = 4.3960 Å, b = 4.3960 Å, c = 4.3960 Å
α = 90.00°, β = 90.00°, γ = 90.00°
With the nearest neighbours (Å) after each atom.
Sites, in units of the cell vectors:
Ni: 0.0000 0.0000 0.5000  2 Fe 2.20
Na: 0.5000 0.5000 0.5000  12 Ni 3.11
Ni: 0.0000 0.5000 0.0000  2 Fe 2.20
Fe: 0.0000 0.0000 0.0000  6 Ni 2.20
Ni: 0.5000 0.0000 0.0000  2 Fe 2.20

Formation energy from the elements in eV per atom: 0.804
DOS at the Fermi energy in states/eV/f.u.: 3.40
Excess energy over the best structure of this formula in the dataset in meV/atom: 0
Total DFT energy (no corrections) in eV/atom: -4.621
Space group: Pm-3m



Computed, not measured: a geometry-optimized NaFeNi2 structure at the PBE-GGA level of DFT.

a = 6.7721 Å, b = 6.7721 Å, c = 5.4641 Å
α = 51.71°, β = 51.71°, γ = 90.00°
With the nearest neighbours (Å) after each atom.
Sites, in units of the cell vectors:
Ni: 0.6691 0.1250 0.2500  2 Fe 2.29
Fe: 0.7500 0.2500 0.5000  4 Ni 2.29
Na: 0.5000 0.5000 0.0000  2 Fe 2.63, 4 Ni 2.70
Ni: 0.3750 0.3309 0.7500  2 Fe 2.29
Fe: 0.0000 0.0000 0.0000  4 Ni 2.29
Ni: 0.0809 0.6250 0.2500  2 Fe 2.29
Ni: 0.8750 0.9191 0.7500  2 Fe 2.29
Na: 0.2500 0.7500 0.5000  2 Fe 2.63, 4 Ni 2.70

Formation energy from the elements in eV per atom: 0.673
DOS at the Fermi energy in states/eV/f.u.: 2.61
Excess energy over the best structure of this formula in the dataset in meV/atom: 174
Total DFT energy (no corrections) in eV/atom: -4.663
Space group: I-42d



Computed, not measured: a geometry-optimized NaFeNi2 structure at the PBE-GGA level of DFT.

a = 4.2113 Å, b = 4.2113 Å, c = 4.2113 Å
α = 60.00°, β = 60.00°, γ = 60.00°
With the nearest neighbours (Å) after each atom.
Sites, in units of the cell vectors:
Ni: 0.2500 0.2500 0.2500  4 Fe 2.58, 4 Na 2.58
Na: 0.0000 0.0000 0.0000  8 Ni 2.58
Fe: 0.5000 0.5000 0.5000  8 Ni 2.58
Ni: 0.7500 0.7500 0.7500  4 Fe 2.58, 4 Na 2.58

Formation energy from the elements in eV per atom: 0.498
DOS at the Fermi energy in states/eV/f.u.: 4.90
Excess energy over the best structure of this formula in the dataset in meV/atom: 0
Total DFT energy (no corrections) in eV/atom: -4.838
Space group: Fm-3m



Computed, not measured: a geometry-optimized NaFe2Ni2 structure at the PBE-GGA level of DFT.

a = 7.3452 Å, b = 7.3452 Å, c = 2.4996 Å
α = 90.00°, β = 90.00°, γ = 90.00°
With the nearest neighbours (Å) after each atom.
Sites, in units of the cell vectors:
Fe: 0.8784 0.6216 0.0000  3 Fe 2.50-2.53, 6 Ni 2.50
Fe: 0.3784 0.8784 0.0000  3 Fe 2.50-2.53, 6 Ni 2.50
Na: 0.5000 0.5000 0.0000  2 Na 2.50
Na: 0.0000 0.0000 0.0000  2 Na 2.50
Fe: 0.6216 0.1216 0.0000  3 Fe 2.50-2.53, 6 Ni 2.50
Fe: 0.1216 0.3784 0.0000  3 Fe 2.50-2.53, 6 Ni 2.50
Ni: 0.1696 0.6696 0.5000  2 Ni 2.50, 6 Fe 2.50
Ni: 0.6696 0.8304 0.5000  2 Ni 2.50, 6 Fe 2.50
Ni: 0.3303 0.1696 0.5000  2 Ni 2.50, 6 Fe 2.50
Ni: 0.8304 0.3303 0.5000  2 Ni 2.50, 6 Fe 2.50

Formation energy from the elements in eV per atom: 0.205
DOS at the Fermi energy in states/eV/f.u.: 3.75
Excess energy over the best structure of this formula in the dataset in meV/atom: 0
Total DFT energy (no corrections) in eV/atom: -5.757
Space group: P4/mbm



Computed, not measured: a geometry-optimized NaFe3Ni structure at the PBE-GGA level of DFT.

a = 4.4687 Å, b = 4.4687 Å, c = 4.4687 Å
α = 90.00°, β = 90.00°, γ = 90.00°
With the nearest neighbours (Å) after each atom.
Sites, in units of the cell vectors:
Fe: 0.0000 0.5000 0.0000  2 Ni 2.23
Ni: 0.0000 0.0000 0.0000  6 Fe 2.23
Fe: 0.5000 0.0000 0.0000  2 Ni 2.23
Fe: 0.0000 0.0000 0.5000  2 Ni 2.23
Na: 0.5000 0.5000 0.5000  12 Fe 3.16

Formation energy from the elements in eV per atom: 0.907
DOS at the Fermi energy in states/eV/f.u.: 4.13
Excess energy over the best structure of this formula in the dataset in meV/atom: 0
Total DFT energy (no corrections) in eV/atom: -5.590
Space group: Pm-3m



Computed, not measured: a geometry-optimized NaFe3Ni structure at the PBE-GGA level of DFT.

a = 4.3393 Å, b = 4.3393 Å, c = 4.3393 Å
α = 90.00°, β = 90.00°, γ = 90.00°
With the nearest neighbours (Å) after each atom.
Sites, in units of the cell vectors:
Fe: 0.5000 0.0000 0.0000  2 Na 2.17
Ni: 0.5000 0.5000 0.5000  12 Fe 3.07
Na: 0.0000 0.0000 0.0000  6 Fe 2.17
Fe: 0.0000 0.0000 0.5000  2 Na 2.17
Fe: 0.0000 0.5000 0.0000  2 Na 2.17

Formation energy from the elements in eV per atom: 2.056
DOS at the Fermi energy in states/eV/f.u.: 7.52
Excess energy over the best structure of this formula in the dataset in meV/atom: 1148
Total DFT energy (no corrections) in eV/atom: -4.442
Space group: Pm-3m



Computed, not measured: a geometry-optimized NaFe2Ni2 structure at the PBE-GGA level of DFT.

a = 7.3243 Å, b = 7.3243 Å, c = 2.5056 Å
α = 90.00°, β = 90.00°, γ = 90.00°
With the nearest neighbours (Å) after each atom.
Sites, in units of the cell vectors:
Ni: 0.3664 0.8664 0.0000  6 Fe 2.47-2.51, 2 Ni 2.51
Ni: 0.6336 0.1336 0.0000  6 Fe 2.47-2.51, 2 Ni 2.51
Fe: 0.8437 0.3437 0.5000  6 Ni 2.47-2.51, 2 Fe 2.51
Ni: 0.1336 0.3664 0.0000  6 Fe 2.47-2.51, 2 Ni 2.51
Fe: 0.3437 0.1563 0.5000  6 Ni 2.47-2.51, 2 Fe 2.51
Ni: 0.8664 0.6336 0.0000  6 Fe 2.47-2.51, 2 Ni 2.51
Fe: 0.1563 0.6563 0.5000  6 Ni 2.47-2.51, 2 Fe 2.51
Na: 0.5000 0.5000 0.0000  2 Na 2.51
Fe: 0.6563 0.8437 0.5000  6 Ni 2.47-2.51, 2 Fe 2.51
Na: 0.0000 0.0000 0.0000  2 Na 2.51

Formation energy from the elements in eV per atom: 0.208
DOS at the Fermi energy in states/eV/f.u.: 2.58
Excess energy over the best structure of this formula in the dataset in meV/atom: 3
Total DFT energy (no corrections) in eV/atom: -5.753
Space group: P4/mbm



Computed, not measured: a geometry-optimized NaFe2NiP structure at the PBE-GGA level of DFT.

a = 4.4293 Å, b = 4.2962 Å, c = 4.4293 Å
α = 90.00°, β = 90.00°, γ = 90.00°
With the nearest neighbours (Å) after each atom.
Sites, in units of the cell vectors:
Ni: 0.0000 0.5000 0.0000  2 Na 2.15
Fe: 0.5000 0.0000 0.0000  2 Na 2.21
Fe: 0.0000 0.0000 0.5000  2 Na 2.21
P: 0.5000 0.5000 0.5000  8 Fe 3.09, 4 Ni 3.13
Na: 0.0000 0.0000 0.0000  2 Ni 2.15, 4 Fe 2.21

Formation energy from the elements in eV per atom: 1.860
DOS at the Fermi energy in states/eV/f.u.: 3.49
Total DFT energy (no corrections) in eV/atom: -4.027
Space group: P4/mmm



Computed, not measured: a geometry-optimized Na2FeNiP structure at the PBE-GGA level of DFT.

a = 5.3069 Å, b = 4.1484 Å, c = 5.3069 Å
α = 90.00°, β = 90.00°, γ = 90.00°
With the nearest neighbours (Å) after each atom.
Sites, in units of the cell vectors:
Na: 0.0000 0.0000 0.5000  2 Fe 2.65
Na: 0.5000 0.0000 0.0000  2 Fe 2.65
Fe: 0.0000 0.0000 0.0000  2 P 2.07
P: 0.0000 0.5000 0.0000  2 Fe 2.07
Ni: 0.5000 0.5000 0.5000  8 Na 3.37, 4 P 3.75

Formation energy from the elements in eV per atom: 0.772
DOS at the Fermi energy in states/eV/f.u.: 13.98
Total DFT energy (no corrections) in eV/atom: -3.687
Space group: P4/mmm



Computed, not measured: a geometry-optimized NaFeNiP2 structure at the PBE-GGA level of DFT.

a = 3.7892 Å, b = 3.7892 Å, c = 5.4921 Å
α = 110.18°, β = 110.18°, γ = 90.00°
With the nearest neighbours (Å) after each atom.
Sites, in units of the cell vectors:
Ni: 0.2500 0.7500 0.5000  4 P 2.24
Fe: 0.7500 0.2500 0.5000  4 P 2.24
P: 0.6253 0.6253 0.2507  2 Fe 2.24, 2 Ni 2.24, 1 P 2.40
Na: 0.0000 0.0000 0.0000  8 P 2.94, 4 Ni 3.06, 4 Fe 3.06
P: 0.3747 0.3747 0.7493  2 Ni 2.24, 2 Fe 2.24, 1 P 2.40

Formation energy from the elements in eV per atom: -0.493
DOS at the Fermi energy in states/eV/f.u.: 2.82
Total DFT energy (no corrections) in eV/atom: -5.770
Space group: I-4m2



Computed, not measured: a geometry-optimized NaFeTcNi2 structure at the PBE-GGA level of DFT.

a = 4.1285 Å, b = 4.2679 Å, c = 4.1285 Å
α = 90.00°, β = 90.00°, γ = 90.00°
With the nearest neighbours (Å) after each atom.
Sites, in units of the cell vectors:
Fe: 0.0000 0.5000 0.0000  2 Na 2.13
Na: 0.0000 0.0000 0.0000  4 Ni 2.06, 2 Fe 2.13
Ni: 0.0000 0.0000 0.5000  2 Na 2.06
Ni: 0.5000 0.0000 0.0000  2 Na 2.06
Tc: 0.5000 0.5000 0.5000  4 Fe 2.92, 8 Ni 2.97

Formation energy from the elements in eV per atom: 2.043
DOS at the Fermi energy in states/eV/f.u.: 8.66
Total DFT energy (no corrections) in eV/atom: -4.299
Space group: P4/mmm